VASP calculation (GGA-PBE) on crystalline HfBRu3 at its relaxed geometry.

Its total energy is -8.082 eV/atom. Its spin magnetization is 0.0 μB per formula unit. The formation energy comes out at 0.81 eV/atom. Its crystal system is tetragonal.

a b c (Å): 4.565 4.565 10.048
angles (deg): 76.87 76.87 90.00
Positions (direct):
Ru: 0.123 0.367 0.753
Ru: 0.359 0.359 0.281
Ru: 0.633 0.877 0.247
Ru: 0.120 0.877 0.247
Ru: 0.641 0.641 0.719
Ru: 0.123 0.880 0.753
B: 0.867 0.367 0.265
B: 0.633 0.133 0.735
Hf: 0.250 0.750 0.500
Hf: 0.000 0.000 0.000